# 1
Compound: Cu2ReAs
Source: Alexandria via LeMat-Bulk
Functional: PBE
Structure: relaxed

a b c (Å): 4.574 4.574 4.827
angles (deg): 81.91 81.91 34.08
Atoms (fractional coordinates):
1 As 0.245 0.245 0.266
2 Cu 0.009 0.009 0.971
3 Cu 0.753 0.753 0.777
4 Re 0.493 0.493 0.486

**Calculated volume**: 13.99 Å³/atom
**Formation energy**: 1.28 eV per formula unit
**Final energy**: -24.01 eV per cell
**Spin magnetization**: 0.0 μB/f.u.

=====

# 2
Compound: NdMgGe2Ir
Source: Alexandria via LeMat-Bulk
Functional: PBE
Structure: relaxed

a b c (Å): 4.144 4.144 6.346
angles (deg): 109.06 109.06 90.00
Atoms (fractional coordinates):
1 Nd 0.000 0.000 0.000
2 Mg 0.750 0.250 0.500
3 Ge 0.612 0.612 0.224
4 Ge 0.388 0.388 0.776
5 Ir 0.250 0.750 0.500

**Calculated volume**: 19.33 Å³/atom
**Formation energy**: -3.28 eV per formula unit
**Final energy**: -27.74 eV per cell
**Spin magnetization**: 0.0 μB/f.u.

=====

# 3
Compound: AcGa3Si3
Source: Alexandria via LeMat-Bulk
Functional: PBE
Structure: relaxed

a b c (Å): 6.864 6.864 6.864
angles (deg): 90.00 90.00 90.00
Atoms (fractional coordinates):
1 Ac 0.500 0.500 0.500
2 Ac 0.000 0.000 0.000
3 Si 0.000 0.250 0.500
4 Si 0.000 0.750 0.500
5 Si 0.500 0.000 0.750
6 Si 0.750 0.500 0.000
7 Si 0.500 0.000 0.250
8 Si 0.250 0.500 0.000
9 Ga 0.250 0.000 0.500
10 Ga 0.000 0.500 0.250
11 Ga 0.500 0.750 0.000
12 Ga 0.750 0.000 0.500
13 Ga 0.000 0.500 0.750
14 Ga 0.500 0.250 0.000

**Calculated volume**: 23.10 Å³/atom
**Formation energy (no corrections)**: -0.04 eV per atom
**Final energy**: -59.42 eV per cell
**Spin magnetization**: 0.0 μB/f.u.

=====

# 4
Compound: CaCoP2Os
Source: Alexandria via LeMat-Bulk
Functional: PBE
Structure: relaxed

a b c (Å): 3.866 3.866 6.151
angles (deg): 108.32 108.32 90.00
Atoms (fractional coordinates):
1 Ca 0.000 0.000 0.000
2 Co 0.750 0.250 0.500
3 P 0.639 0.639 0.278
4 P 0.361 0.361 0.722
5 Os 0.250 0.750 0.500

**Calculated volume**: 16.48 Å³/atom
**Formation energy**: -3.68 eV per formula unit
**Final energy**: -34.84 eV per cell
**Spin magnetization**: 0.0 μB/f.u.